No. 1
The following is a DFT calculation (PBE) of SbOs after structural relaxation.

Cell: 4.725 4.725 4.725 Å, 60.00 60.00 60.00°
Positions (direct):
1 Sb 0.500 0.500 0.500
2 Sb 0.250 0.250 0.250
3 Os 0.000 0.000 0.000
4 Os 0.750 0.750 0.750

Calculated values
ΔE_f (raw) (eV per atom): 1.125
Crystal system: cubic
E_tot (eV/atom): -6.55
Space-group type: Fd-3m, No. 227

No. 2
The following is a DFT calculation (PBE) of NaTmGaHg after structural relaxation.

Cell: 5.060 5.060 5.060 Å, 60.00 60.00 60.00°
Positions (direct):
1 Tm 0.000 0.000 0.000
2 Ga 0.250 0.250 0.250
3 Na 0.500 0.500 0.500
4 Hg 0.750 0.750 0.750

Calculated values
Energy of formation (meV per atom): -286
Crystal system: cubic
E_tot (eV/atom): -2.57
Space-group type: F-43m, No. 216

No. 3
The following is a DFT calculation (PBE) of MgBiP2W after structural relaxation.

Cell: 4.669 5.376 4.669 Å, 90.00 90.00 90.00°
Positions (direct):
1 Mg 0.000 0.500 0.000
2 P 0.000 0.000 0.500
3 P 0.500 0.000 0.000
4 W 0.000 0.000 0.000
5 Bi 0.500 0.500 0.500

Calculated values
Energy of formation (meV per atom): 506
Crystal system: tetragonal
E_tot (eV/atom): -5.34
Space-group type: P4/mmm, No. 123

No. 4
The following is a DFT calculation (PBE) of NdTlH after structural relaxation.

Cell: 3.331 3.331 6.455 Å, 104.95 104.95 90.00°
Positions (direct):
1 Nd 0.731 0.731 0.463
2 H 0.265 0.265 0.530
3 Tl 0.004 0.004 0.007

Calculated values
Crystal system: tetragonal
E_tot (eV/atom): -3.67
Relative energy among the computed polymorphs (kJ/mol of atoms): 27.2
Space-group type: I4mm, No. 107

No. 5
The following is a DFT calculation (PBE) of Ac2Zn5Cu4 after structural relaxation.

Cell: 5.568 5.464 8.492 Å, 80.38 70.86 59.37°
Positions (direct):
1 Cu 0.783 0.695 0.740
2 Cu 0.217 0.305 0.260
3 Cu 0.477 0.305 0.740
4 Cu 0.523 0.695 0.260
5 Zn 0.250 0.500 0.500
6 Zn 0.750 0.500 0.500
7 Zn 0.500 0.000 0.000
8 Zn 0.000 0.500 0.000
9 Zn 0.500 0.500 0.000
10 Ac 0.863 0.000 0.273
11 Ac 0.137 0.000 0.727

Calculated values
Energy of formation (meV per atom): -224
Crystal system: orthorhombic
E_tot (eV/atom): -3.04
Relative energy among the computed polymorphs (kJ/mol of atoms): 0.0
Space-group type: Fmmm, No. 69

No. 6
The following is a DFT calculation (PBE) of Y4TlCr after structural relaxation.

Cell: 6.318 6.318 6.318 Å, 60.00 60.00 60.00°
Positions (direct):
1 Cr 0.750 0.750 0.750
2 Y 0.875 0.375 0.375
3 Y 0.375 0.375 0.875
4 Y 0.375 0.875 0.375
5 Y 0.375 0.375 0.375
6 Tl 0.000 0.000 0.000

Calculated values
Energy of formation (meV per atom): 568
Crystal system: cubic
E_tot (eV/atom): -5.74
Space-group type: F-43m, No. 216

No. 7
The following is a DFT calculation (PBE) of HoHfTcOs after structural relaxation.

Cell: 4.699 4.699 4.699 Å, 60.00 60.00 60.00°
Positions (direct):
1 Tc 0.750 0.750 0.750
2 Os 0.250 0.250 0.250
3 Ho 0.000 0.000 0.000
4 Hf 0.500 0.500 0.500

Calculated values
Energy of formation (meV per atom): -248
Crystal system: cubic
E_tot (eV/atom): -9.28
Space-group type: F-43m, No. 216

No. 8
The following is a DFT calculation (PBE) of GeH2F2 after structural relaxation.

Cell: 2.584 2.584 8.956 Å, 81.71 81.71 90.00°
Positions (direct):
1 Ge 0.000 0.000 0.000
2 H 0.250 0.750 0.500
3 H 0.750 0.250 0.500
4 F 0.707 0.707 0.586
5 F 0.293 0.293 0.414

Calculated values
Crystal system: tetragonal
E_tot (eV/atom): -3.54
Relative energy among the computed polymorphs (kJ/mol of atoms): 48.4
Space-group type: I4/mmm, No. 139